Record 1
DFT (PBE) results for crystalline MgZrIN2 at its relaxed geometry.

Calculated values
Offset from the most stable computed form = 0.875 eV/atom
Formation energy (no corrections) = 5.3 eV/f.u.
Total energy = -0.3389 Ry per atom

a = 4.118 Å, b = 4.118 Å, c = 5.199 Å
α = 90.00°, β = 90.00°, γ = 90.00°
Space group P4/mmm (No. 123)
Unique sites:
Mg 0.000 0.000 0.000 (multiplicity 1)
Zr 0.500 0.500 0.500 (multiplicity 1)
I 0.000 0.000 0.500 (multiplicity 1)
N 0.000 0.500 0.000 (multiplicity 2)

Record 2
DFT (PBE) results for crystalline NaMgI3 at its relaxed geometry.

Calculated values
Formation energy (no corrections) = -5.3 eV/f.u.
Total energy = -0.1892 Ry per atom

a = 8.652 Å, b = 13.266 Å, c = 7.620 Å
α = 90.00°, β = 90.00°, γ = 90.00°
Space group Pnma (No. 62)
Unique sites:
Na 0.000 0.000 0.000 (multiplicity 4)
Mg 0.195 0.250 0.459 (multiplicity 4)
I 0.018 0.250 0.150 (multiplicity 4)
I 0.183 0.076 0.641 (multiplicity 8)

Record 3
DFT (PBE) results for crystalline NaMg2I at its relaxed geometry.

Calculated values
Offset from the most stable computed form = 0.304 eV/atom
Formation energy (no corrections) = 0.7 eV/f.u.
Total energy = -0.0991 Ry per atom

a = 8.160 Å, b = 8.160 Å, c = 8.160 Å
α = 90.00°, β = 90.00°, γ = 90.00°
Space group Fm-3m (No. 225)
Unique sites:
Na 0.000 0.000 0.000 (multiplicity 4)
Mg 0.250 0.250 0.250 (multiplicity 8)
I 0.000 0.000 0.500 (multiplicity 4)

Record 4
DFT (PBE) results for crystalline Na2MgI at its relaxed geometry.

Calculated values
Offset from the most stable computed form = 0.000 eV/atom
Formation energy (no corrections) = -1.1 eV/f.u.
Total energy = -0.1263 Ry per atom

a = 8.753 Å, b = 8.753 Å, c = 7.764 Å
α = 90.00°, β = 90.00°, γ = 90.00°
Space group I-42d (No. 122)
Unique sites:
Na 0.226 0.750 0.125 (multiplicity 8)
Mg 0.000 0.000 0.500 (multiplicity 4)
I 0.000 0.000 0.000 (multiplicity 4)

Record 5
DFT (PBE) results for crystalline Na4MgI6 at its relaxed geometry.

Calculated values
Formation energy (no corrections) = -12.8 eV/f.u.
Total energy = -0.1936 Ry per atom

a = 15.026 Å, b = 8.720 Å, c = 15.511 Å
α = 90.00°, β = 110.89°, γ = 90.00°
Space group Cc (No. 9)
Unique sites:
Na 0.000 0.096 0.000 (multiplicity 4)
Na 0.135 0.339 0.360 (multiplicity 4)
Na 0.324 0.375 0.699 (multiplicity 4)
Na 0.366 0.111 0.025 (multiplicity 4)
Mg 0.071 0.220 0.765 (multiplicity 4)
I 0.112 0.465 0.675 (multiplicity 4)
I 0.127 0.052 0.213 (multiplicity 4)
I 0.155 0.281 0.949 (multiplicity 4)
I 0.324 0.238 0.515 (multiplicity 4)
I 0.377 0.274 0.214 (multiplicity 4)
I 0.454 0.282 0.897 (multiplicity 4)

Record 6
DFT (PBE) results for crystalline NaMgI3 at its relaxed geometry.

Calculated values
Formation energy (no corrections) = -5.2 eV/f.u.
Total energy = -0.1879 Ry per atom

a = 7.7393 Å, b = 7.7393 Å, c = 10.2244 Å
α = 90.00°, β = 90.00°, γ = 120.00°
Space group P-31m (No. 162)
Unique sites:
Na 0.0000 0.0000 0.2052 (multiplicity 2)
Mg 0.3333 0.6667 0.0000 (multiplicity 2)
I 0.0000 0.3835 0.8298 (multiplicity 6)

Record 7
DFT (PBE) results for crystalline Na2MgI4 at its relaxed geometry.

Calculated values
Offset from the most stable computed form = 0.114 eV/atom
Formation energy (no corrections) = -7.1 eV/f.u.
Total energy = -0.1843 Ry per atom

a = 5.877 Å, b = 5.877 Å, c = 15.979 Å
α = 90.00°, β = 90.00°, γ = 90.00°
Space group I4/mmm (No. 139)
Unique sites:
Na 0.000 0.000 0.131 (multiplicity 4)
Mg 0.000 0.000 0.500 (multiplicity 2)
I 0.000 0.000 0.322 (multiplicity 4)
I 0.000 0.500 0.000 (multiplicity 4)

Record 8
DFT (PBE) results for crystalline NaMgI2 at its relaxed geometry.

Calculated values
Offset from the most stable computed form = 0.014 eV/atom
Formation energy (no corrections) = -2.7 eV/f.u.
Total energy = -0.1606 Ry per atom

a = 6.733 Å, b = 6.733 Å, c = 16.307 Å
α = 90.00°, β = 90.00°, γ = 90.00°
Space group I-42d (No. 122)
Unique sites:
Na 0.000 0.000 0.000 (multiplicity 4)
Mg 0.000 0.000 0.500 (multiplicity 4)
I 0.230 0.250 0.625 (multiplicity 8)

Record 9
DFT (PBE) results for crystalline NaMgI2 at its relaxed geometry.

Calculated values
Offset from the most stable computed form = 0.000 eV/atom
Formation energy (no corrections) = -2.8 eV/f.u.
Total energy = -0.1616 Ry per atom

a = 4.1526 Å, b = 4.1526 Å, c = 35.5593 Å
α = 90.00°, β = 90.00°, γ = 120.00°
Space group R-3m (No. 166, hexagonal axes)
Unique sites:
Na 0.0000 0.0000 0.0000 (multiplicity 3)
Mg 0.0000 0.0000 0.5000 (multiplicity 3)
I 0.0000 0.0000 0.1189 (multiplicity 6)

Record 10
DFT (PBE) results for crystalline Na2MgI5 at its relaxed geometry.

Calculated values
Formation energy (no corrections) = -7.5 eV/f.u.
Total energy = -0.1788 Ry per atom

a = 6.308 Å, b = 15.686 Å, c = 13.303 Å
α = 90.00°, β = 90.00°, γ = 90.00°
Space group Cmcm (No. 63)
Unique sites:
Na 0.000 0.183 0.087 (multiplicity 8)
Mg 0.000 0.181 0.750 (multiplicity 4)
I 0.000 0.018 0.625 (multiplicity 8)
I 0.000 0.303 0.597 (multiplicity 8)
I 0.000 0.325 0.250 (multiplicity 4)

Record 11
DFT (PBE) results for crystalline Na2MgI4 at its relaxed geometry.

Calculated values
Offset from the most stable computed form = 0.000 eV/atom
Formation energy (no corrections) = -7.9 eV/f.u.
Total energy = -0.1927 Ry per atom

a = 7.392 Å, b = 7.392 Å, c = 12.483 Å
α = 90.00°, β = 90.00°, γ = 90.00°
Space group I-42m (No. 121)
Unique sites:
Na 0.000 0.500 0.250 (multiplicity 4)
Mg 0.000 0.000 0.000 (multiplicity 2)
I 0.224 0.224 0.117 (multiplicity 8)

Record 12
DFT (PBE) results for crystalline NaMgI3 at its relaxed geometry.

Calculated values
Formation energy (no corrections) = -4.6 eV/f.u.
Total energy = -0.1791 Ry per atom

a = 5.815 Å, b = 5.815 Å, c = 5.815 Å
α = 90.00°, β = 90.00°, γ = 90.00°
Space group Pm-3m (No. 221)
Unique sites:
Na 0.000 0.000 0.000 (multiplicity 1)
Mg 0.500 0.500 0.500 (multiplicity 1)
I 0.000 0.500 0.500 (multiplicity 3)

What is the formation energy (no corrections) in the second record? -5.3 eV/f.u.

Which formula does entry 9 have? NaMgI2

What is the formula in the third record? NaMg2I